SrSc2Mo PBE optimized geometry; energy relative to the elements = 0.641 eV per atom; total magnetic moment = 0.0 μB/f.u.; calculated density = 4.7 g cm⁻³; symmetry = I-4m2 (119)
1.0
4.581 0.000 0.000
0.000 4.581 0.000
0.000 0.000 9.148
Sr Sc Mo
2 4 2
Direct
0.000 0.000 0.000 Sr
0.500 0.500 0.500 Sr
0.000 0.000 0.500 Sc
0.000 0.500 0.250 Sc
0.500 0.000 0.750 Sc
0.500 0.500 0.000 Sc
0.000 0.500 0.750 Mo
0.500 0.000 0.250 Mo

***

SrScMo2 PBE optimized geometry; energy relative to the elements = 0.901 eV per atom; total magnetic moment = 0.0 μB/f.u.; calculated density = 6.6 g cm⁻³; symmetry = Immm (71)
1.0
3.538 0.000 0.000
0.000 4.584 0.000
0.000 0.000 10.109
Sr Sc Mo
2 2 4
Direct
0.000 0.000 0.000 Sr
0.500 0.500 0.500 Sr
0.000 0.000 0.500 Sc
0.500 0.500 0.000 Sc
0.000 0.500 0.242 Mo
0.000 0.500 0.758 Mo
0.500 0.000 0.258 Mo
0.500 0.000 0.742 Mo

***

SrSc2Mo PBE optimized geometry; energy relative to the elements = 0.555 eV per atom; total magnetic moment = 0.0 μB/f.u.; calculated density = 4.9 g cm⁻³; symmetry = Fm-3m (225)
1.0
7.196 0.000 0.000
0.000 7.196 0.000
0.000 0.000 7.196
Sr Sc Mo
4 8 4
Direct
0.000 0.000 0.000 Sr
0.000 0.500 0.500 Sr
0.500 0.000 0.500 Sr
0.500 0.500 0.000 Sr
0.250 0.250 0.250 Sc
0.250 0.250 0.750 Sc
0.250 0.750 0.250 Sc
0.250 0.750 0.750 Sc
0.750 0.250 0.250 Sc
0.750 0.250 0.750 Sc
0.750 0.750 0.250 Sc
0.750 0.750 0.750 Sc
0.000 0.000 0.500 Mo
0.000 0.500 0.000 Mo
0.500 0.000 0.000 Mo
0.500 0.500 0.500 Mo

***

SrSc2Mo PBE optimized geometry; energy relative to the elements = 0.452 eV per atom; total magnetic moment = 0.0 μB/f.u.; calculated density = 4.3 g cm⁻³; symmetry = C2/m (12)
1.0
8.654 0.000 0.000
0.000 3.295 0.000
-0.861 0.000 7.406
Sr Sc Mo
2 4 2
Direct
0.000 0.000 0.000 Sr
0.500 0.500 0.000 Sr
0.225 0.000 0.672 Sc
0.275 0.500 0.328 Sc
0.725 0.500 0.672 Sc
0.775 0.000 0.328 Sc
0.000 0.500 0.500 Mo
0.500 0.000 0.500 Mo

***

SrScMo2 PBE optimized geometry; energy relative to the elements = 0.731 eV per atom; total magnetic moment = 0.0 μB/f.u.; calculated density = 6.6 g cm⁻³; symmetry = P4/mmm (123)
1.0
2.850 0.000 0.000
0.000 2.850 0.000
0.000 0.000 10.121
Sr Sc Mo
1 1 2
Direct
0.000 0.000 0.000 Sr
0.000 0.000 0.500 Sc
0.500 0.500 0.275 Mo
0.500 0.500 0.725 Mo

***

SrScMo2 PBE optimized geometry; energy relative to the elements = 0.801 eV per atom; total magnetic moment = 0.0 μB/f.u.; calculated density = 6.5 g cm⁻³; symmetry = I-4m2 (119)
1.0
4.882 0.000 0.000
0.000 4.882 0.000
0.000 0.000 6.932
Sr Sc Mo
2 2 4
Direct
0.000 0.000 0.000 Sr
0.500 0.500 0.500 Sr
0.000 0.500 0.250 Sc
0.500 0.000 0.750 Sc
0.000 0.000 0.500 Mo
0.000 0.500 0.750 Mo
0.500 0.000 0.250 Mo
0.500 0.500 0.000 Mo

***

SrScMo2 PBE optimized geometry; energy relative to the elements = 1.140 eV per atom; total magnetic moment = 2.7 μB/f.u.; calculated density = 6.3 g cm⁻³; symmetry = Fm-3m (225)
1.0
6.995 0.000 0.000
0.000 6.995 0.000
0.000 0.000 6.995
Sr Sc Mo
4 4 8
Direct
0.000 0.000 0.000 Sr
0.000 0.500 0.500 Sr
0.500 0.000 0.500 Sr
0.500 0.500 0.000 Sr
0.000 0.000 0.500 Sc
0.000 0.500 0.000 Sc
0.500 0.000 0.000 Sc
0.500 0.500 0.500 Sc
0.250 0.250 0.250 Mo
0.250 0.250 0.750 Mo
0.250 0.750 0.250 Mo
0.250 0.750 0.750 Mo
0.750 0.250 0.250 Mo
0.750 0.250 0.750 Mo
0.750 0.750 0.250 Mo
0.750 0.750 0.750 Mo

***

SrScMo2 PBE optimized geometry; energy relative to the elements = 0.537 eV per atom; total magnetic moment = 0.0 μB/f.u.; calculated density = 5.8 g cm⁻³; symmetry = Imm2 (44)
1.0
3.442 0.000 0.000
0.000 5.243 0.000
0.000 0.000 10.270
Sr Sc Mo
2 2 4
Direct
0.000 0.000 0.000 Sr
0.500 0.500 0.500 Sr
0.000 0.500 0.216 Sc
0.500 0.000 0.716 Sc
0.000 0.000 0.433 Mo
0.000 0.500 0.769 Mo
0.500 0.000 0.269 Mo
0.500 0.500 0.933 Mo

***

SrScMo2 PBE optimized geometry; energy relative to the elements = 0.567 eV per atom; total magnetic moment = 0.0 μB/f.u.; calculated density = 6.0 g cm⁻³; symmetry = Cmm2 (35)
1.0
3.474 0.000 0.000
0.000 5.132 0.000
0.000 0.000 10.066
Sr Sc Mo
2 2 4
Direct
0.000 0.000 0.000 Sr
0.500 0.500 0.000 Sr
0.000 0.500 0.671 Sc
0.500 0.000 0.671 Sc
0.000 0.000 0.452 Mo
0.000 0.500 0.272 Mo
0.500 0.000 0.272 Mo
0.500 0.500 0.452 Mo

***

SrSc2Mo PBE optimized geometry; energy relative to the elements = 0.527 eV per atom; total magnetic moment = 0.8 μB/f.u.; calculated density = 4.5 g cm⁻³; symmetry = Immm (71)
1.0
4.295 0.000 0.000
0.000 5.573 0.000
0.000 0.000 8.340
Sr Sc Mo
2 4 2
Direct
0.000 0.000 0.000 Sr
0.500 0.500 0.500 Sr
0.000 0.500 0.204 Sc
0.000 0.500 0.796 Sc
0.500 0.000 0.296 Sc
0.500 0.000 0.704 Sc
0.000 0.000 0.500 Mo
0.500 0.500 0.000 Mo

***

SrSc2Mo PBE optimized geometry; energy relative to the elements = 0.882 eV per atom; total magnetic moment = 0.0 μB/f.u.; calculated density = 3.0 g cm⁻³; symmetry = I4_1/amd (141)
1.0
7.238 0.000 0.000
0.000 7.238 0.000
0.000 0.000 11.643
Sr Sc Mo
4 8 4
Direct
0.000 0.250 0.375 Sr
0.000 0.750 0.625 Sr
0.500 0.250 0.125 Sr
0.500 0.750 0.875 Sr
0.000 0.000 0.000 Sc
0.000 0.500 0.000 Sc
0.250 0.250 0.750 Sc
0.250 0.750 0.250 Sc
0.500 0.000 0.500 Sc
0.500 0.500 0.500 Sc
0.750 0.250 0.750 Sc
0.750 0.750 0.250 Sc
0.000 0.250 0.875 Mo
0.000 0.750 0.125 Mo
0.500 0.250 0.625 Mo
0.500 0.750 0.375 Mo

***

SrSc2Mo PBE optimized geometry; energy relative to the elements = 0.490 eV per atom; total magnetic moment = 0.0 μB/f.u.; calculated density = 4.3 g cm⁻³; symmetry = Cm (8)
1.0
9.719 0.000 0.000
0.000 3.131 0.000
-0.298 0.000 6.987
Sr Sc Mo
2 4 2
Direct
0.000 0.000 0.000 Sr
0.500 0.500 0.000 Sr
0.004 0.500 0.560 Sc
0.259 0.500 0.345 Sc
0.504 0.000 0.560 Sc
0.759 0.000 0.345 Sc
0.244 0.000 0.684 Mo
0.744 0.500 0.684 Mo

***

SrScMo2 PBE optimized geometry; energy relative to the elements = 0.555 eV per atom; total magnetic moment = 0.0 μB/f.u.; calculated density = 5.5 g cm⁻³; symmetry = Pmmm (47)
1.0
3.378 0.000 0.000
0.000 4.164 0.000
0.000 0.000 6.916
Sr Sc Mo
1 1 2
Direct
0.000 0.000 0.000 Sr
0.000 0.000 0.500 Sc
0.500 0.500 0.338 Mo
0.500 0.500 0.662 Mo

***

SrSc2Mo PBE optimized geometry; energy relative to the elements = 0.242 eV per atom; total magnetic moment = 0.0 μB/f.u.; calculated density = 4.3 g cm⁻³; symmetry = Pmmm (47)
1.0
3.436 0.000 0.000
0.000 3.452 0.000
0.000 0.000 8.930
Sr Sc Mo
1 2 1
Direct
0.000 0.000 0.000 Sr
0.500 0.500 0.331 Sc
0.500 0.500 0.669 Sc
0.000 0.000 0.500 Mo

***

Sc2TaMo PBE optimized geometry; energy relative to the elements = 0.022 eV per atom; total magnetic moment = 0.0 μB/f.u.; calculated density = 7.4 g cm⁻³; symmetry = P4mm (99)
1.0
3.314 0.000 0.000
0.000 3.314 0.000
0.000 0.000 7.464
Sc Ta Mo
2 1 1
Direct
0.000 0.000 0.000 Sc
0.500 0.500 0.334 Sc
0.000 0.000 0.587 Ta
0.500 0.500 0.772 Mo

***

Sc2TaMo PBE optimized geometry; energy relative to the elements = 0.491 eV per atom; total magnetic moment = 0.0 μB/f.u.; calculated density = 7.7 g cm⁻³; symmetry = R-3m (166)
1.0
2.979 0.000 0.000
-1.490 2.580 0.000
0.000 0.000 30.932
Sc Ta Mo
6 3 3
Direct
0.000 0.000 0.086 Sc
0.000 0.000 0.914 Sc
0.333 0.667 0.581 Sc
0.333 0.667 0.753 Sc
0.667 0.333 0.247 Sc
0.667 0.333 0.419 Sc
0.000 0.000 0.500 Ta
0.333 0.667 0.167 Ta
0.667 0.333 0.833 Ta
0.000 0.000 0.000 Mo
0.333 0.667 0.667 Mo
0.667 0.333 0.333 Mo

***

Sc2TaMo PBE optimized geometry; energy relative to the elements = 0.238 eV per atom; total magnetic moment = 0.0 μB/f.u.; calculated density = 7.9 g cm⁻³; symmetry = P4/mmm (123)
1.0
2.846 0.000 0.000
0.000 2.846 0.000
0.000 0.000 9.523
Sc Ta Mo
2 1 1
Direct
0.000 0.000 0.243 Sc
0.000 0.000 0.757 Sc
0.500 0.500 0.500 Ta
0.500 0.500 0.000 Mo

***

Sc2TaMo PBE optimized geometry; energy relative to the elements = 0.220 eV per atom; total magnetic moment = 0.0 μB/f.u.; calculated density = 7.8 g cm⁻³; symmetry = Cm (8)
1.0
9.563 0.000 0.000
0.000 2.867 0.000
-0.078 0.000 5.677
Sc Ta Mo
4 2 2
Direct
0.000 0.000 0.000 Sc
0.244 0.000 0.725 Sc
0.500 0.500 0.000 Sc
0.744 0.500 0.725 Sc
0.002 0.500 0.469 Ta
0.502 0.000 0.469 Ta
0.248 0.500 0.249 Mo
0.748 0.000 0.249 Mo

***

Sc2TaMo PBE optimized geometry; energy relative to the elements = 0.199 eV per atom; total magnetic moment = 0.0 μB/f.u.; calculated density = 7.9 g cm⁻³; symmetry = P4/mmm (123)
1.0
3.999 0.000 0.000
0.000 3.999 0.000
0.000 0.000 4.802
Sc Ta Mo
2 1 1
Direct
0.000 0.500 0.000 Sc
0.500 0.000 0.000 Sc
0.000 0.000 0.500 Ta
0.500 0.500 0.500 Mo

***

Sc2TaMo2 PBE optimized geometry; energy relative to the elements = 0.260 eV per atom; total magnetic moment = 0.0 μB/f.u.; calculated density = 7.6 g cm⁻³; symmetry = P4/mbm (127)
1.0
6.596 0.000 0.000
0.000 6.596 0.000
0.000 0.000 4.629
Sc Ta Mo
4 2 4
Direct
0.173 0.327 0.000 Sc
0.327 0.827 0.000 Sc
0.673 0.173 0.000 Sc
0.827 0.673 0.000 Sc
0.000 0.000 0.500 Ta
0.500 0.500 0.500 Ta
0.134 0.634 0.500 Mo
0.366 0.134 0.500 Mo
0.634 0.866 0.500 Mo
0.866 0.366 0.500 Mo